(1)
The following is a GGA-PBE calculation of a relaxed structure of LiMo3Br, from the Alexandria database.

Results
The uncorrected formation energy comes out at 1.5771 eV/atom. For the volume, the calculation gives 99.55 Å³/f.u. The electronic total energy is -5.6389 eV/atom. The value obtained for the density of states at the Fermi level is 3.9 states/eV per cell. The calculation puts the energy above the most stable polymorph in this dataset at 0 meV per atom. As for the crystal system: cubic.

Unit cell a=4.635 b=4.635 c=4.635 alpha=90.00 beta=90.00 gamma=90.00
Space group Pm-3m (No. 221)
Inequivalent atoms, fractional coordinates:
1 Li 0.000 0.000 0.000 x1
2 Mo 0.000 0.500 0.500 x3
3 Br 0.500 0.500 0.500 x1

(2)
The following is a GGA-PBE calculation of a relaxed structure of Zr2GaNi3, from the Alexandria database.

Results
For the volume, the calculation gives 88.80 Å³/f.u. The electronic total energy is -6.7529 eV/atom. The value obtained for the density of states at the Fermi level is 9.3 states/eV per cell. As for the formation energy: -0.5084 eV/atom. As for the crystal system: hexagonal.

Unit cell a=5.0713 b=5.0713 c=7.9737 alpha=90.00 beta=90.00 gamma=120.00
Space group P6_3/mmc (No. 194)
Inequivalent atoms, fractional coordinates:
1 Zr 0.3333 0.6667 0.0557 x4
2 Ga 0.0000 0.0000 0.0000 x2
3 Ni 0.1709 0.3417 0.7500 x6